Computed, not measured: crystalline Pa2HgBi5 at its relaxed geometry at the PBE-GGA level of DFT.

Geometry as extended XYZ:
```
16
Lattice="-2.928 -0.110 3.510 -3.256 -6.697 -2.926 8.423 -7.069 6.806" Properties=species:S:1:pos:R:3 pbc="T T T"
Pa 0.975 -3.409 3.685
Pa 4.461 -8.436 6.436
Pa 1.264 -10.467 3.704
Pa -2.222 -5.440 0.953
Bi -1.628 -3.348 -1.463
Bi 4.198 -9.110 3.217
Bi -1.039 -7.685 -1.108
Bi 0.969 -4.656 0.663
Bi -0.355 -7.778 2.438
Bi -1.424 -2.167 1.722
Bi 2.594 -6.098 4.952
Bi 6.206 -6.081 4.987
Bi 4.212 -3.534 3.403
Bi 3.663 -11.709 5.667
Hg 0.000 0.000 0.000
Hg 2.584 -6.883 1.940
```

Output
The energy relative to the elements is -0.10 eV/atom. The uncorrected energy comes out at -4.9350 eV/atom.